# 1
Entry from the Open Quantum Materials Database: HfBe2As after structural relaxation (PBE-GGA).

The space group is F-43m (No. 216) and the conventional cell measures 6.200, 6.200 and 6.200 Å, with angles of 90.00, 90.00 and 90.00 degrees. The asymmetric unit holds Hf at (0.000, 0.000, 0.000), Be at (0.000, 0.000, 0.500), Be at (0.250, 0.250, 0.250) and As at (0.250, 0.250, 0.750).

As for the calculated density: 7.6 Mg/m³. As for the total magnetic moment: 0.01 μB per formula unit. Its total energy is -82.67 eV per cell.

---

# 2
Entry from the Open Quantum Materials Database: HfBeAs3 after structural relaxation (PBE-GGA).

The space group is Pm-3m (No. 221) and the conventional cell measures 4.493, 4.493 and 4.493 Å, with angles of 90.00, 90.00 and 90.00 degrees. The asymmetric unit holds Hf at (0.000, 0.000, 0.000), Be at (0.500, 0.500, 0.500) and As at (0.000, 0.500, 0.500).

As for the calculated density: 7.5 Mg/m³. As for the total magnetic moment: 0.00 μB per formula unit. Its total energy is -25.99 eV per cell.

---

# 3
Entry from the Open Quantum Materials Database: HfBeAs2 after structural relaxation (PBE-GGA).

The space group is F-43m (No. 216) and the conventional cell measures 6.511, 6.511 and 6.511 Å, with angles of 90.00, 90.00 and 90.00 degrees. The asymmetric unit holds Hf at (0.000, 0.000, 0.000), Be at (0.250, 0.250, 0.750), As at (0.000, 0.000, 0.500) and As at (0.250, 0.250, 0.250).

As for the calculated density: 8.1 Mg/m³. As for the total magnetic moment: 0.00 μB per formula unit. Its total energy is -86.93 eV per cell.

---

# 4
Entry from the Open Quantum Materials Database: HfBeNiAs after structural relaxation (PBE-GGA).

The space group is F-43m (No. 216) and the conventional cell measures 6.122, 6.122 and 6.122 Å, with angles of 90.00, 90.00 and 90.00 degrees. The asymmetric unit holds Hf at (0.000, 0.000, 0.000), Be at (0.250, 0.250, 0.750), Ni at (0.000, 0.000, 0.500) and As at (0.250, 0.250, 0.250).

As for the calculated density: 9.3 Mg/m³. The energy above the most stable polymorph in this dataset is 0.0 meV per atom. As for the total magnetic moment: 0.00 μB per formula unit. Its total energy is -96.15 eV per cell.

---

# 5
Entry from the Open Quantum Materials Database: HfBeNiAs after structural relaxation (PBE-GGA).

The space group is F-43m (No. 216) and the conventional cell measures 6.145, 6.145 and 6.145 Å, with angles of 90.00, 90.00 and 90.00 degrees. The asymmetric unit holds Hf at (0.000, 0.000, 0.000), Be at (0.250, 0.250, 0.250), Ni at (0.250, 0.250, 0.750) and As at (0.000, 0.000, 0.500).

As for the calculated density: 9.2 Mg/m³. The energy above the most stable polymorph in this dataset is 58.7 meV per atom. As for the total magnetic moment: 0.02 μB per formula unit. Its total energy is -95.21 eV per cell.

---

# 6
Entry from the Open Quantum Materials Database: HfBeAsO after structural relaxation (PBE-GGA).

The space group is P4/nmm (No. 129, origin choice 2) and the conventional cell measures 3.607, 3.607 and 8.175 Å, with angles of 90.00, 90.00 and 90.00 degrees. The asymmetric unit holds Hf at (0.250, 0.250, 0.146), Be at (0.250, 0.750, 0.500), As at (0.250, 0.250, 0.680) and O at (0.250, 0.750, 0.000).

As for the calculated density: 8.7 Mg/m³. The energy above the most stable polymorph in this dataset is 82.5 meV per atom. As for the total magnetic moment: 0.01 μB per formula unit. Its total energy is -57.25 eV per cell.

---

# 7
Entry from the Open Quantum Materials Database: HfBeAsO after structural relaxation (PBE-GGA).

The space group is Pmc2_1 (No. 26) and the conventional cell measures 3.815, 6.002 and 5.223 Å, with angles of 90.00, 90.00 and 90.00 degrees. The asymmetric unit holds Hf at (0.000, 0.192, 0.000), Be at (0.500, 0.417, 0.669), As at (0.000, 0.251, 0.501) and O at (0.500, 0.350, 0.987).

As for the calculated density: 7.7 Mg/m³. The energy above the most stable polymorph in this dataset is 0.0 meV per atom. As for the total magnetic moment: 0.01 μB per formula unit. Its total energy is -57.91 eV per cell.

---

# 8
Entry from the Open Quantum Materials Database: HfBeAsO after structural relaxation (PBE-GGA).

The space group is Pmc2_1 (No. 26) and the conventional cell measures 3.080, 6.071 and 6.096 Å, with angles of 90.00, 90.00 and 90.00 degrees. The asymmetric unit holds Hf at (0.000, 0.013, 0.000), Be at (0.500, 0.352, 0.324), As at (0.500, 0.279, 0.736) and O at (0.000, 0.262, 0.258).

As for the calculated density: 8.1 Mg/m³. The energy above the most stable polymorph in this dataset is 82.9 meV per atom. As for the total magnetic moment: 0.00 μB per formula unit. Its total energy is -57.25 eV per cell.

---

> total magnetic moment of number 4 (HfBeNiAs)?

0.00 μB per formula unit

---

> Number 3 is which compound?

HfBeAs2